# 1
MgAs2Au2 | PBE-GGA | optimized geometry

spin magnetization: 0.0 μB per formula unit
ΔE to the lowest computed polymorph: 55 meV/atom
energy of formation from the pure elements: 0.005 eV per atom

Lattice parameters (Å, degrees): 7.3305 7.3305 3.7331 90.00 90.00 90.00
Last column: nearest neighbours and their distance in Å.
Fractional coordinates of all 10 atoms:
Mg 0.0000 0.0000 0.0000  4 As 2.72
Mg 0.5000 0.5000 0.0000  4 As 2.72
As 0.1715 0.3285 0.0000  6 Au 2.70-2.96, 2 Mg 2.72
As 0.3285 0.8285 0.0000  6 Au 2.70-2.96, 2 Mg 2.72
As 0.6715 0.1715 0.0000  6 Au 2.70-2.96, 2 Mg 2.72
As 0.8285 0.6715 0.0000  6 Au 2.70-2.96, 2 Mg 2.72
Au 0.1406 0.6406 0.5000  6 As 2.70-2.96, 1 Au 2.92
Au 0.3594 0.1406 0.5000  6 As 2.70-2.96, 1 Au 2.92
Au 0.6406 0.8594 0.5000  6 As 2.70-2.96, 1 Au 2.92
Au 0.8594 0.3594 0.5000  6 As 2.70-2.96, 1 Au 2.92

# 2
MgAsAu2 | PBE-GGA | optimized geometry

spin magnetization: 0.0 μB per formula unit
energy of formation from the pure elements: -0.088 eV per atom

Lattice parameters (Å, degrees): 8.6684 8.6684 8.6684 21.39 21.39 21.39
Last column: nearest neighbours and their distance in Å.
Fractional coordinates of all 4 atoms:
Mg 0.0000 0.0000 0.0000  6 Au 2.81
As 0.5000 0.5000 0.5000  6 Au 2.82
Au 0.2504 0.2504 0.2504  3 Mg 2.81, 3 As 2.82
Au 0.7496 0.7496 0.7496  3 Mg 2.81, 3 As 2.82

# 3
MgAsAu2 | PBE-GGA | optimized geometry

spin magnetization: 0.0 μB per formula unit
energy of formation from the pure elements: -0.111 eV per atom

Lattice parameters (Å, degrees): 4.7348 4.7348 4.7348 60.00 60.00 60.00
Last column: nearest neighbours and their distance in Å.
Fractional coordinates of all 4 atoms:
Mg 0.0000 0.0000 0.0000  4 Au 2.90, 4 As 2.90
As 0.2500 0.2500 0.2500  4 Mg 2.90, 4 Au 2.90
Au 0.5000 0.5000 0.5000  4 Au 2.90, 4 As 2.90
Au 0.7500 0.7500 0.7500  4 Mg 2.90, 4 Au 2.90

# 4
Mg2AsAu | PBE-GGA | optimized geometry

spin magnetization: 0.0 μB per formula unit
energy of formation from the pure elements: -0.395 eV per atom

Lattice parameters (Å, degrees): 4.1308 4.1308 6.8535 100.48 100.48 45.30
Last column: nearest neighbours and their distance in Å.
Fractional coordinates of all 4 atoms:
Mg 0.2472 0.2472 0.2518  3 As 2.78-2.80, 3 Au 2.79-2.83
Mg 0.7528 0.7528 0.7482  3 As 2.78-2.80, 3 Au 2.79-2.83
As 0.0000 0.0000 0.5000  6 Mg 2.78-2.80
Au 0.5000 0.5000 0.0000  6 Mg 2.79-2.83